Record 1
The following is a SCAN calculation of BaSr2Be at its PBEsol-relaxed geometry, from Alexandria via LeMat-Bulk. Values from VASP.

The structure in Quantum ESPRESSO input format:
```
&SYSTEM
  ibrav = 0, nat = 4, ntyp = 3
/
ATOMIC_SPECIES
Be 9.01 Be.upf
Ba 137.33 Ba.upf
Sr 87.62 Sr.upf
CELL_PARAMETERS angstrom
-1.317 2.451 -2.823
-1.672 -5.460 -3.123
-4.006 1.649 5.665
ATOMIC_POSITIONS angstrom
Be -0.659 1.225 -1.411
Ba -0.836 -2.730 -1.561
Sr -2.003 0.825 2.832
Sr -3.497 -0.680 -0.141
```

Calculated values
formation enthalpy at 0 K = 0.616 eV per atom
total DFT energy (no corrections) = -1.580 Ry per atom
symmetry = No. 12

Record 2
The following is a SCAN calculation of SrCdGa3 at its PBEsol-relaxed geometry, from Alexandria via LeMat-Bulk. Values from VASP.

The structure in Quantum ESPRESSO input format:
```
&SYSTEM
  ibrav = 0, nat = 5, ntyp = 3
/
ATOMIC_SPECIES
Ga 69.72 Ga.upf
Cd 112.41 Cd.upf
Sr 87.62 Sr.upf
CELL_PARAMETERS angstrom
-4.211 -0.487 2.878
2.916 -0.943 4.107
0.140 5.013 1.052
ATOMIC_POSITIONS angstrom
Ga 0.070 2.507 0.526
Ga 1.458 -0.472 2.053
Ga -2.106 -0.243 1.439
Cd 0.000 0.000 0.000
Sr -0.578 1.792 4.019
```

Calculated values
formation enthalpy at 0 K = 0.110 eV per atom
total DFT energy (no corrections) = -1.487 Ry per atom
symmetry = No. 221